# 1
DFT (PBE-GGA) results for an optimized crystal structure of BeCuBi.

Computed properties:
- Density: 8.55 g/cm³
- DFT total energy: -3.602 eV per atom
- Formation energy: 0.299 eV/atom
- Magnetization: 0.00 μB per atom
- Symmetry: No. 62

a b c (Å): 7.765 4.070 6.925
angles (deg): 90.00 90.00 90.00
Positions (direct):
Cu1 0.062 0.750 0.578
Cu2 0.562 0.750 0.922
Be1 0.980 0.750 0.265
Bi1 0.818 0.250 0.048
Be2 0.520 0.250 0.765
Bi2 0.318 0.250 0.452
Cu3 0.438 0.250 0.078
Bi3 0.182 0.750 0.952
Be3 0.480 0.750 0.235
Be4 0.020 0.250 0.735
Bi4 0.682 0.750 0.548
Cu4 0.938 0.250 0.422

---

# 2
DFT (PBE-GGA) results for an optimized crystal structure of Be3CuBi.

Computed properties:
- Density: 6.54 g/cm³
- DFT total energy: -3.208 eV per atom
- Formation energy: 0.623 eV/atom
- Magnetization: 0.00 μB per atom
- Symmetry: No. 221

a b c (Å): 4.237 4.237 4.237
angles (deg): 90.00 90.00 90.00
Positions (direct):
Be1 0.500 0.000 0.000
Be2 0.000 0.000 0.500
Bi1 0.500 0.500 0.500
Cu1 0.000 0.000 0.000
Be3 0.000 0.500 0.000

---

# 3
DFT (PBE-GGA) results for an optimized crystal structure of BeCuBi.

Computed properties:
- Density: 8.84 g/cm³
- DFT total energy: -3.560 eV per atom
- Formation energy: 0.341 eV/atom
- Magnetization: 0.00 μB per atom
- Symmetry: No. 62

a b c (Å): 8.033 4.316 6.104
angles (deg): 90.00 90.00 90.00
Positions (direct):
Be1 0.500 0.500 0.500
Cu1 0.976 0.250 0.666
Be2 0.000 0.500 0.000
Cu2 0.524 0.750 0.166
Bi1 0.781 0.250 0.291
Be3 0.000 0.000 0.000
Bi2 0.281 0.250 0.209
Bi3 0.219 0.750 0.709
Be4 0.500 0.000 0.500
Bi4 0.719 0.750 0.791
Cu3 0.476 0.250 0.834
Cu4 0.024 0.750 0.334